<one>
Below is CuSnH3 after structural relaxation, with properties calculated at the PBE level.

Properties
Its crystal system is cubic. The calculation puts the density of states at the Fermi level at 0.223 states/eV per atom.

Structure (CIF):
```
data_CuSnH3
_cell_length_a 3.700
_cell_length_b 3.700
_cell_length_c 3.700
_cell_angle_alpha 90.00
_cell_angle_beta 90.00
_cell_angle_gamma 90.00
_space_group_name_H-M_alt 'P m -3 m'
_space_group_IT_number 221
_space_group_name_Hall '-P 4 2 3'
loop_
_atom_site_label
_atom_site_type_symbol
_atom_site_fract_x
_atom_site_fract_y
_atom_site_fract_z
_atom_site_occupancy
Cu1 Cu 0.000 0.000 0.000 1
Sn1 Sn 0.500 0.500 0.500 1
H1 H 0.000 0.000 0.500 1
```

=====

<two>
Below is CuSnH3 after structural relaxation, with properties calculated at the PBE level.

Properties
Its crystal system is cubic. The calculation puts the density of states at the Fermi level at 0.316 states/eV per atom.

Structure (CIF):
```
data_CuSnH3
_cell_length_a 3.959
_cell_length_b 3.959
_cell_length_c 3.959
_cell_angle_alpha 90.00
_cell_angle_beta 90.00
_cell_angle_gamma 90.00
_space_group_name_H-M_alt 'P m -3 m'
_space_group_IT_number 221
_space_group_name_Hall '-P 4 2 3'
loop_
_atom_site_label
_atom_site_type_symbol
_atom_site_fract_x
_atom_site_fract_y
_atom_site_fract_z
_atom_site_occupancy
Cu1 Cu 0.000 0.000 0.000 1
Sn1 Sn 0.500 0.500 0.500 1
H1 H 0.000 0.500 0.500 1
```

=====

Quick one: most stable of them? <one>

=====

<one>
Below is Sr2CuH2 after structural relaxation, with properties calculated at the PBE level.

Properties
Its crystal system is tetragonal. The calculation puts the density of states at the Fermi level at 0.436 states/eV per atom.

Structure (CIF):
```
data_Sr2CuH2
_cell_length_a 3.991
_cell_length_b 3.991
_cell_length_c 13.393
_cell_angle_alpha 90.00
_cell_angle_beta 90.00
_cell_angle_gamma 90.00
_space_group_name_H-M_alt 'I 4/m m m'
_space_group_IT_number 139
_space_group_name_Hall '-I 4 2'
loop_
_atom_site_label
_atom_site_type_symbol
_atom_site_fract_x
_atom_site_fract_y
_atom_site_fract_z
_atom_site_occupancy
Sr1 Sr 0.000 0.000 0.144 1
Cu1 Cu 0.000 0.000 0.500 1
H1 H 0.000 0.500 0.250 1
```

=====

<two>
Below is Sr2CuH2 after structural relaxation, with properties calculated at the PBE level.

Properties
Its crystal system is tetragonal. The calculation puts the density of states at the Fermi level at 0.480 states/eV per atom.

Structure (CIF):
```
data_Sr2CuH2
_cell_length_a 7.364
_cell_length_b 7.364
_cell_length_c 3.454
_cell_angle_alpha 90.00
_cell_angle_beta 90.00
_cell_angle_gamma 90.00
_space_group_name_H-M_alt 'P 4/m b m'
_space_group_IT_number 127
_space_group_name_Hall '-P 4 2ab'
loop_
_atom_site_label
_atom_site_type_symbol
_atom_site_fract_x
_atom_site_fract_y
_atom_site_fract_z
_atom_site_occupancy
Sr1 Sr 0.179 0.321 0.000 1
Cu1 Cu 0.000 0.000 0.500 1
H1 H 0.123 0.623 0.500 1
```

=====

Quick one: most stable of them? <one>